The following is a GGA-PBEsol calculation of a relaxed structure of ScZn2, from the Alexandria database.

Results
Total moment ... 0.0 μB/f.u.
Energy of formation ... -0.320 eV/atom
Symmetry ... P-3m1

Cell: 4.488 4.488 5.619 Å, 89.99 90.00 120.00°
Positions (direct):
Sc: 0.667 0.333 0.804
Sc: 0.333 0.667 0.196
Zn: 0.000 0.000 0.000
Zn: 0.667 0.333 0.316
Zn: 0.000 0.000 0.500
Zn: 0.333 0.667 0.684

---

The following is a GGA-PBEsol calculation of a relaxed structure of ScZn3, from the Alexandria database.

Results
Total moment ... 0.0 μB/f.u.
Energy of formation ... -0.312 eV/atom
Symmetry ... Fm-3m

Cell: 4.426 4.426 4.426 Å, 60.00 60.00 60.00°
Positions (direct):
Sc: 0.000 0.000 0.000
Zn: 0.750 0.750 0.750
Zn: 0.500 0.500 0.500
Zn: 0.250 0.250 0.250